No. 1
Computed, not measured: a relaxed Dy2Cu15Pt2 crystal at the GGA-PBE level of DFT.

Output
Total moment ... 0.000 μB/cell
Density ... 10.27 Mg/m³
D(E_F) ... 9.2 states/eV/cell
Energy of formation ... -0.2063 eV per atom
Space-group type ... R-3m

abc: 6.502 6.502 6.502
angles: 83.27 83.27 83.27
Atoms (fractional coordinates):
Dy 0.163 0.163 0.163
Dy 0.837 0.837 0.837
Cu 0.000 0.500 0.500
Cu 0.149 0.149 0.656
Cu 0.149 0.656 0.149
Cu 0.204 0.500 0.796
Cu 0.204 0.796 0.500
Cu 0.344 0.851 0.851
Cu 0.500 0.000 0.500
Cu 0.500 0.204 0.796
Cu 0.500 0.500 0.000
Cu 0.500 0.796 0.204
Cu 0.656 0.149 0.149
Cu 0.796 0.204 0.500
Cu 0.796 0.500 0.204
Cu 0.851 0.344 0.851
Cu 0.851 0.851 0.344
Pt 0.392 0.392 0.392
Pt 0.608 0.608 0.608

***

No. 2
Computed, not measured: a relaxed Li4LaCu2 crystal at the GGA-PBE level of DFT.

Output
Total moment ... 0.000 μB/cell
Density ... 3.57 Mg/m³
D(E_F) ... 4.0 states/eV/cell
Energy of formation ... -0.0674 eV per atom
Space-group type ... Cmmm

abc: 8.727 8.727 4.013
angles: 90.00 90.00 153.44
Atoms (fractional coordinates):
Li 0.179 0.821 0.000
Li 0.319 0.681 0.500
Li 0.681 0.319 0.500
Li 0.821 0.179 0.000
La 0.500 0.500 0.000
Cu 0.075 0.925 0.500
Cu 0.925 0.075 0.500